! PBE-GGA La5Dy2Ho12, optimized geometry; values from VASP
&SYSTEM
  ibrav = 0, nat = 19, ntyp = 3
/
ATOMIC_SPECIES
La 138.91 La.upf
Dy 162.50 Dy.upf
Ho 164.93 Ho.upf
ATOMIC_POSITIONS angstrom
La 0.0000 9.1144 2.5069
La 0.0000 5.9881 0.7162
La 0.0000 3.1295 3.0301
La 0.0000 23.1838 5.6408
La 0.0000 20.0575 3.8500
Dy 1.6088 11.4564 0.1484
Dy -1.6088 11.4564 0.1484
Ho 0.0000 6.2184 4.4858
Ho -2.9811 8.4373 0.3960
Ho 2.9811 8.4373 0.3960
Ho -1.7738 12.1401 3.6678
Ho 1.7738 12.1401 3.6678
Ho 0.0000 14.1337 1.5609
Ho 0.0000 15.0381 4.7961
Ho 1.7738 17.0318 2.6891
Ho -1.7738 17.0318 2.6891
Ho 2.9811 20.7346 5.9609
Ho -2.9811 20.7346 5.9609
Ho 0.0000 22.9535 1.8711
CELL_PARAMETERS angstrom
4.6401 11.4564 0.1484
-4.6401 11.4564 0.1484
0.0000 6.2591 6.0602
! Volume = 33.5 Å³ per atom
! Formation energy from the elements = 0.12 eV per atom
! Calculated total energy = -4.555 eV per atom
! Symmetry = C2/m, No. 12